Below is a relaxed Tb2YCo2B2O3 crystal, with properties calculated at the GGA+U level.

```
10
Lattice="-6.0951 -8.1338 -4.2367 -8.9611 -4.2852 -4.7534 8.4825 6.6281 2.3185" Properties=species:S:1:pos:R:3 pbc="T T T"
Y 0.0000 0.0000 0.0000
Co -4.0034 -1.9333 -3.4649
Tb -5.4657 -4.5084 -3.2636
B -3.1670 -2.6122 -1.8910
O -13.5091 -11.1430 -8.0664
Tb -9.5905 -7.9106 -5.7265
O -1.5471 -1.2761 -0.9238
B -11.8892 -9.8068 -7.0991
O -7.5281 -6.2095 -4.4951
Co -2.5704 -3.8576 -3.2066
```

size of the total moment: 0.02 μB per formula unit
theoretical density: 7.886 g/cm³
uncorrected energy: -7.066 eV/atom
space group: I4/mmm, No. 139